# Ba2CaCdNi

An optimized crystal structure of Ba2CaCdNi (PBE, Alexandria).

Calculated values
- DOS at the Fermi energy (states/eV/cell) = 3.00
- raw total energy (eV/cell) = -12.784
- volume (Å³ per cell) = 198
- energy relative to the lowest polymorph listed for this composition (meV per atom) = 0
- formation energy from the elements (eV/atom) = -0.0481

abc: 6.0250 6.0250 5.4678
angles: 90.00 90.00 90.00
Last column: nearest neighbours and their distance in Å.
Space group P4/mmm (No. 123)
Asymmetric unit:
Ba (0.0000, 0.5000, 0.0000)  2 Ni 3.01
Ca (0.0000, 0.0000, 0.5000)  2 Ni 2.73
Cd (0.5000, 0.5000, 0.5000)  8 Ba 4.07, 4 Ca 4.26
Ni (0.0000, 0.0000, 0.0000)  2 Ca 2.73, 4 Ba 3.01